Compound: TaTcAu2
Source: Alexandria
Functional: GGA-PBE
Structure: optimized geometry

a b c (Å): 2.8215 2.8215 8.4800
angles (deg): 90.00 90.00 90.00
Sites, in units of the cell vectors:
Ta: 0.0000 0.0000 0.0000
Tc: 0.0000 0.0000 0.5000
Au: 0.5000 0.5000 0.2531
Au: 0.5000 0.5000 0.7469

Values from the calculation:
Total magnetic moment in μB/cell: 0.2
Fermi-level density of states in states/eV per atom: 1.33
Crystal system: tetragonal
Uncorrected energy in hartree per atom: -0.2555
ρ in g/cm³: 16.6
Formation enthalpy at 0 K in eV per atom: 0.241



Compound: K2AlMo
Source: Alexandria
Functional: GGA-PBE
Structure: optimized geometry

a b c (Å): 9.3275 9.3275 9.3275
angles (deg): 94.27 94.27 148.33
Sites, in units of the cell vectors:
K: 0.3750 0.0418 0.1668
K: 0.7918 0.6250 0.6668
K: 0.8750 0.2082 0.8332
K: 0.9582 0.1250 0.3332
Al: 0.0000 0.0000 0.0000
Al: 0.7500 0.2500 0.5000
Mo: 0.2500 0.7500 0.5000
Mo: 0.5000 0.5000 0.0000

Values from the calculation:
Total magnetic moment in μB/cell: 7.2
Fermi-level density of states in states/eV per atom: 0.65
Crystal system: tetragonal
Uncorrected energy in hartree per atom: -0.1129
ρ in g/cm³: 1.6
Formation enthalpy at 0 K in eV per atom: 1.120